Material: RbLiAl
Method: DFT, GGA-PBE
State: optimized geometry

POSCAR file:
```
RbLiAl
1.0
-3.363 2.983 0.825
-1.748 0.376 4.215
7.663 8.930 4.829
Al Rb Li
2 2 2
direct
0.347 0.633 0.420 Al
0.015 0.260 0.500 Al
0.023 0.083 0.847 Rb
0.010 0.407 0.206 Rb
0.351 0.529 0.627 Li
0.682 0.928 0.497 Li
```

Results
The value obtained for the density of states at the Fermi level is 0.40 states/eV per atom. The mass density comes out at 1.75 g/cm³. The value obtained for the polymorph energy (0 for the lowest one) is 40 meV per atom. Its space-group type is No. 1. The value obtained for the calculated volume is 37.79 A^3/atom. The calculation puts the energy of formation from the pure elements at 59 meV per atom.